Record 1
The following is a PBE calculation of InCoCl4 after structural relaxation, from the Alexandria database.

Cell: 5.997 5.997 5.997 Å, 60.00 60.00 60.00°
Sites, in units of the cell vectors:
In1 0.000 0.000 0.000
Co1 0.250 0.250 0.250
Cl1 0.127 0.624 0.624
Cl2 0.624 0.127 0.624
Cl3 0.624 0.624 0.127
Cl4 0.624 0.624 0.624

Properties
* E_form (uncorrected): 3.752 eV/f.u.
* space-group type: F-43m, No. 216
* Fermi-level density of states: 1.20 states/eV per atom

---

Record 2
The following is a PBE calculation of CeP2N4 after structural relaxation, from the Alexandria database.

Cell: 6.599 6.599 5.452 Å, 105.76 105.76 122.24°
Sites, in units of the cell vectors:
Ce1 0.109 0.891 0.500
Ce2 0.891 0.109 0.000
P1 0.430 0.992 0.190
P2 0.469 0.599 0.298
P3 0.599 0.469 0.798
P4 0.992 0.430 0.690
N1 0.061 0.232 0.705
N2 0.232 0.061 0.205
N3 0.286 0.765 0.832
N4 0.448 0.850 0.394
N5 0.669 0.682 0.132
N6 0.682 0.669 0.632
N7 0.765 0.286 0.332
N8 0.850 0.448 0.894

Properties
* E_form (uncorrected): -4.610 eV/f.u.
* space-group type: Cc, No. 9
* Fermi-level density of states: 0.22 states/eV per atom

---

Q: The lowest Fermi-level density of states belongs to which entry?
A: CeP2N4